! CaZrGaAg | Alexandria | PBE-GGA | optimized geometry; values from VASP
&SYSTEM
  ibrav = 0, nat = 4, ntyp = 4
/
ATOMIC_SPECIES
Ga 69.72 Ga.upf
Ag 107.87 Ag.upf
Zr 91.22 Zr.upf
Ca 40.08 Ca.upf
CELL_PARAMETERS angstrom
-4.696 -0.555 1.575
-2.136 -4.503 -0.070
-0.929 -2.385 4.277
ATOMIC_POSITIONS crystal
Ga 0.250 0.250 0.250
Ag 0.750 0.750 0.750
Zr 0.500 0.500 0.500
Ca 0.000 0.000 0.000
! ΔH_f (0 K) = -195 meV per atom
! energy = -4.302 eV per atom
! V = 88 Å³/f.u.